Compound: CdBiN2F
Source: Alexandria via LeMat-Bulk
Functional: PBE
Structure: optimized geometry

Summary:
- energy above the most stable polymorph in this dataset (eV/f.u.) = 0.000
- uncorrected formation energy (eV per atom) = 0.63
- space-group type = No. 123
- M_tot (μB per cell) = 0.0
- crystal system = tetragonal
- E_tot (eV/atom) = -4.038

Lattice parameters (Å, degrees): 4.364 4.364 4.381 90.00 90.00 90.00
Fractional positions:
Cd1 0.000 0.000 0.000
Bi1 0.500 0.500 0.500
N1 0.000 0.500 0.500
N2 0.500 0.000 0.500
F1 0.500 0.500 0.000


Compound: CsLa2CoI
Source: Alexandria via LeMat-Bulk
Functional: PBE
Structure: optimized geometry

Summary:
- uncorrected formation energy (eV per atom) = 0.79
- space-group type = No. 123
- M_tot (μB per cell) = 0.8
- crystal system = tetragonal
- E_tot (eV/atom) = -3.078

Lattice parameters (Å, degrees): 6.026 6.026 6.756 90.00 90.00 90.00
Fractional positions:
Cs1 0.000 0.000 0.000
La1 0.000 0.500 0.500
La2 0.500 0.000 0.500
Co1 0.500 0.500 0.000
I1 0.000 0.000 0.500


Compound: MnTcPPdCl
Source: Alexandria via LeMat-Bulk
Functional: PBE
Structure: optimized geometry

Summary:
- energy above the most stable polymorph in this dataset (eV/f.u.) = 0.650
- uncorrected formation energy (eV per atom) = -0.09
- space-group type = No. 1
- M_tot (μB per cell) = 0.0
- crystal system = triclinic
- E_tot (eV/atom) = -6.488

Lattice parameters (Å, degrees): 3.692 3.812 7.363 80.20 75.56 61.10
Fractional positions:
Mn1 0.000 0.000 0.000
Tc1 0.270 0.342 0.121
P1 0.715 0.667 0.903
Pd1 0.458 0.346 0.736
Cl1 0.607 0.403 0.385


Compound: BeHg2Br
Source: Alexandria via LeMat-Bulk
Functional: PBE
Structure: optimized geometry

Summary:
- energy above the most stable polymorph in this dataset (eV/f.u.) = 2.740
- uncorrected formation energy (eV per atom) = 0.62
- space-group type = No. 225
- M_tot (μB per cell) = 0.0
- crystal system = cubic
- E_tot (eV/atom) = -0.882

Lattice parameters (Å, degrees): 5.220 5.220 5.220 60.00 60.00 60.00
Fractional positions:
Be1 0.000 0.000 0.000
Hg1 0.250 0.250 0.250
Hg2 0.750 0.750 0.750
Br1 0.500 0.500 0.500


Compound: LiZnPd2
Source: Alexandria via LeMat-Bulk
Functional: PBE
Structure: optimized geometry

Summary:
- ΔE_f (eV/atom) = -0.398
- space-group type = No. 166
- M_tot (μB per cell) = 0.0
- crystal system = trigonal
- E_tot (eV/atom) = -3.792

Lattice parameters (Å, degrees): 8.448 8.448 8.448 19.49 19.49 19.49
Fractional positions:
Li1 0.000 0.000 0.000
Zn1 0.500 0.500 0.500
Pd1 0.249 0.249 0.249
Pd2 0.751 0.751 0.751


Compound: CdAsSe2Br
Source: Alexandria via LeMat-Bulk
Functional: PBE
Structure: optimized geometry

Summary:
- energy above the most stable polymorph in this dataset (eV/f.u.) = 3.535
- uncorrected formation energy (eV per atom) = 0.90
- space-group type = No. 123
- M_tot (μB per cell) = 0.7
- crystal system = tetragonal
- E_tot (eV/atom) = -1.943

Lattice parameters (Å, degrees): 5.154 5.154 5.263 90.00 90.00 90.00
Fractional positions:
Cd1 0.000 0.000 0.000
As1 0.500 0.500 0.000
Se1 0.000 0.500 0.500
Se2 0.500 0.000 0.500
Br1 0.500 0.500 0.500


Compound: LaTa2Br
Source: Alexandria via LeMat-Bulk
Functional: PBE
Structure: optimized geometry

Summary:
- energy above the most stable polymorph in this dataset (eV/f.u.) = 0.000
- uncorrected formation energy (eV per atom) = -0.07
- space-group type = No. 38
- M_tot (μB per cell) = 0.0
- crystal system = orthorhombic
- E_tot (eV/atom) = -7.650

Lattice parameters (Å, degrees): 3.410 8.313 8.313 24.56 90.00 90.00
Fractional positions:
La1 0.000 0.000 0.000
Ta1 0.000 0.787 0.787
Ta2 0.500 0.366 0.366
Br1 0.500 0.643 0.643


Compound: BaGdIn
Source: Alexandria via LeMat-Bulk
Functional: PBE
Structure: optimized geometry

Summary:
- ΔE_f (eV/atom) = -0.135
- energy above the most stable polymorph in this dataset (eV/f.u.) = 0.223
- space-group type = No. 156
- M_tot (μB per cell) = 7.5
- crystal system = trigonal
- E_tot (eV/atom) = -6.383

Lattice parameters (Å, degrees): 5.584 5.584 4.103 90.00 90.00 120.00
Fractional positions:
Ba1 0.000 0.000 0.000
Gd1 0.333 0.667 0.499
In1 0.667 0.333 0.502


Compound: Ca3VN
Source: Alexandria via LeMat-Bulk
Functional: PBE
Structure: optimized geometry

Summary:
- energy above the most stable polymorph in this dataset (eV/f.u.) = 7.799
- uncorrected formation energy (eV per atom) = 1.56
- space-group type = No. 221
- M_tot (μB per cell) = 7.2
- crystal system = cubic
- E_tot (eV/atom) = -3.130

Lattice parameters (Å, degrees): 5.777 5.777 5.777 90.00 90.00 90.00
Fractional positions:
Ca1 0.000 0.000 0.500
Ca2 0.000 0.500 0.000
Ca3 0.500 0.000 0.000
V1 0.000 0.000 0.000
N1 0.500 0.500 0.500


Compound: Hf2HW
Source: Alexandria via LeMat-Bulk
Functional: PBE
Structure: optimized geometry

Summary:
- energy above the most stable polymorph in this dataset (eV/f.u.) = 0.361
- space-group type = No. 166
- M_tot (μB per cell) = 0.0
- crystal system = trigonal
- E_tot (eV/atom) = -8.682

Lattice parameters (Å, degrees): 8.534 8.534 8.534 19.92 19.92 19.92
Fractional positions:
Hf1 0.109 0.109 0.109
Hf2 0.891 0.891 0.891
H1 0.500 0.500 0.500
W1 0.000 0.000 0.000


Compound: TbHo2In
Source: Alexandria via LeMat-Bulk
Functional: PBE
Structure: optimized geometry

Summary:
- ΔE_f (eV/atom) = -0.110
- energy above the most stable polymorph in this dataset (eV/f.u.) = 0.624
- space-group type = No. 225
- M_tot (μB per cell) = 1.2
- crystal system = cubic
- E_tot (eV/atom) = -4.241

Lattice parameters (Å, degrees): 5.435 5.435 5.435 60.00 60.00 60.00
Fractional positions:
Tb1 0.000 0.000 0.000
Ho1 0.250 0.250 0.250
Ho2 0.750 0.750 0.750
In1 0.500 0.500 0.500


Compound: GaOsF2
Source: Alexandria via LeMat-Bulk
Functional: PBE
Structure: optimized geometry

Summary:
- energy above the most stable polymorph in this dataset (eV/f.u.) = 0.000
- uncorrected formation energy (eV per atom) = -0.91
- space-group type = No. 166
- M_tot (μB per cell) = 0.0
- crystal system = trigonal
- E_tot (eV/atom) = -5.413

Lattice parameters (Å, degrees): 8.337 8.337 8.337 18.78 18.78 18.78
Fractional positions:
Ga1 0.000 0.000 0.000
Os1 0.500 0.500 0.500
F1 0.420 0.420 0.420
F2 0.580 0.580 0.580


Q: Which formula does entry 2 have?
A: CsLa2CoI